(1)
The following is a GGA-PBE calculation of a geometry-optimized ScAg2Bi structure, from Alexandria.

Lattice parameters (Å, degrees): 3.8185 3.8185 6.0988 90.00 90.00 90.00
Last column: nearest neighbours and their distance in Å.
Sites, in units of the cell vectors:
Sc 0.0000 0.0000 0.0000  8 Ag 3.04, 2 Bi 3.05
Ag 0.5000 0.5000 0.2304  1 Ag 2.81, 4 Sc 3.04
Ag 0.5000 0.5000 0.7696  1 Ag 2.81, 4 Sc 3.04
Bi 0.0000 0.0000 0.5000  2 Sc 3.05, 8 Ag 3.16



(2)
The following is a GGA-PBE calculation of a geometry-optimized Mg2AgGe2Pd5 structure, from Alexandria.

Lattice parameters (Å, degrees): 9.6439 9.6439 3.6372 90.00 90.00 90.00
Last column: nearest neighbours and their distance in Å.
Sites, in units of the cell vectors:
Mg 0.1709 0.3291 0.0000  3 Ge 2.72-2.92, 2 Pd 2.96
Mg 0.3291 0.8291 0.0000  3 Ge 2.72-2.92, 2 Pd 2.96
Mg 0.6709 0.1709 0.0000  3 Ge 2.72-2.92, 2 Pd 2.96
Mg 0.8291 0.6709 0.0000  3 Ge 2.72-2.92, 2 Pd 2.96
Ag 0.0000 0.0000 0.0000  8 Pd 2.77
Ag 0.5000 0.5000 0.0000  8 Pd 2.77
Ge 0.1294 0.6294 0.0000  6 Pd 2.48-2.53, 1 Mg 2.72
Ge 0.3706 0.1294 0.0000  6 Pd 2.48-2.53, 1 Mg 2.72
Ge 0.6294 0.8706 0.0000  6 Pd 2.48-2.53, 1 Mg 2.72
Ge 0.8706 0.3706 0.0000  6 Pd 2.48-2.53, 1 Mg 2.72
Pd 0.0000 0.5000 0.5000  4 Ge 2.53
Pd 0.0752 0.7962 0.5000  2 Ge 2.48, 2 Ag 2.77
Pd 0.2038 0.0752 0.5000  2 Ge 2.48, 2 Ag 2.77
Pd 0.2962 0.5752 0.5000  2 Ge 2.48, 2 Ag 2.77
Pd 0.4248 0.2962 0.5000  2 Ge 2.48, 2 Ag 2.77
Pd 0.5000 0.0000 0.5000  4 Ge 2.53
Pd 0.5752 0.7038 0.5000  2 Ge 2.48, 2 Ag 2.77
Pd 0.7038 0.4248 0.5000  2 Ge 2.48, 2 Ag 2.77
Pd 0.7962 0.9248 0.5000  2 Ge 2.48, 2 Ag 2.77
Pd 0.9248 0.2038 0.5000  2 Ge 2.48, 2 Ag 2.77



(3)
The following is a GGA-PBE calculation of a geometry-optimized La2TbV structure, from Alexandria.

Lattice parameters (Å, degrees): 11.9175 11.9175 11.9175 16.59 16.59 16.59
Last column: nearest neighbours and their distance in Å.
Sites, in units of the cell vectors:
La 0.0780 0.0780 0.0780  1 V 2.75
La 0.9220 0.9220 0.9220  1 V 2.75
Tb 0.5000 0.5000 0.5000  6 Tb 3.44, 6 La 3.70
V 0.0000 0.0000 0.0000  2 La 2.75



(4)
The following is a GGA-PBE calculation of a geometry-optimized Ac4GaOs structure, from Alexandria.

Lattice parameters (Å, degrees): 9.4389 9.4389 7.3475 111.22 111.22 115.87
Last column: nearest neighbours and their distance in Å.
Sites, in units of the cell vectors:
Ac 0.0539 0.6253 0.8616  1 Os 2.89
Ac 0.1934 0.2843 0.6508  2 Os 3.03-3.09, 1 Ga 3.38
Ac 0.2843 0.1934 0.1508  2 Os 3.03-3.09, 1 Ga 3.38
Ac 0.3747 0.9461 0.6384  1 Os 2.89
Ac 0.6253 0.0539 0.3616  1 Os 2.89
Ac 0.7157 0.8066 0.8492  2 Os 3.03-3.09, 1 Ga 3.38
Ac 0.8066 0.7157 0.3492  2 Os 3.03-3.09, 1 Ga 3.38
Ac 0.9461 0.3747 0.1384  1 Os 2.89
Ga 0.3844 0.6156 0.2500  8 Ac 3.31-3.45, 2 Os 3.70
Ga 0.6156 0.3844 0.7500  8 Ac 3.31-3.45, 2 Os 3.70
Os 0.0908 0.9092 0.2500  6 Ac 2.89-3.09
Os 0.9092 0.0908 0.7500  6 Ac 2.89-3.09



no.,formation enthalpy at 0 K (eV per atom)
1,-0.172
2,-0.434
3,0.611
4,-0.136